A relaxed MnRhO2 crystal. Source: the Alexandria database, functional GGA+U.

a = 3.919 Å, b = 3.919 Å, c = 3.919 Å
α = 60.00°, β = 60.00°, γ = 60.00°
Fractional coordinates of all 4 atoms:
Mn: 0.000 0.000 0.000
Rh: 0.500 0.500 0.500
O: 0.250 0.250 0.250
O: 0.750 0.750 0.750

Calculated values
Polymorph energy (0 for the lowest one) ... 2.57 eV/f.u.
DOS(E_F) ... 3.932 states/eV/f.u.
SG ... Fm-3m
Total DFT energy (no corrections) ... -6.557 eV per atom